(1)
# Ac4SnGeN

A relaxed structure of Ac4SnGeN (PBE-GGA, Alexandria).

Values from the calculation:
Total magnetic moment, μB/f.u.: 0.006
Theoretical density, g/cm³: 8.03
ΔE_f (raw), meV/atom: -743.6
E, eV/atom: -5.5121
Crystal system: orthorhombic

Lattice parameters (Å, degrees): 7.186 17.720 7.230 90.00 90.00 90.00
Space group Cmcm (No. 63)
Unique sites:
Ac  0.000  0.064  0.250 (multiplicity 4)
Ac  0.000  0.418  0.250 (multiplicity 4)
Ac  0.250  0.250  0.000 (multiplicity 8)
Sn  0.000  0.389  0.750 (multiplicity 4)
Ge  0.000  0.117  0.750 (multiplicity 4)
N  0.000  0.277  0.250 (multiplicity 4)

***

(2)
# Zn2InBr

A relaxed structure of Zn2InBr (PBE-GGA, Alexandria).

Values from the calculation:
Total magnetic moment, μB/f.u.: 0.000
Theoretical density, g/cm³: 5.33
ΔE_f (raw), meV/atom: 71.1
Energy above the lowest structure with this stoichiometry, kJ/mol of atoms: 20.9
E, eV/atom: -1.6687
Crystal system: tetragonal

Lattice parameters (Å, degrees): 4.646 4.646 9.397 90.00 90.00 90.00
Space group I-4m2 (No. 119)
Unique sites:
Zn  0.000  0.000  0.000 (multiplicity 2)
Zn  0.000  0.500  0.250 (multiplicity 2)
In  0.000  0.000  0.500 (multiplicity 2)
Br  0.000  0.500  0.750 (multiplicity 2)

***

(3)
# MnH2Br5

A relaxed structure of MnH2Br5 (PBE-GGA, Alexandria).

Values from the calculation:
Total magnetic moment, μB/f.u.: 4.000
Theoretical density, g/cm³: 2.75
E, eV/atom: -3.3937
Crystal system: tetragonal

Lattice parameters (Å, degrees): 6.915 6.915 11.523 90.00 90.00 90.00
Space group I4 (No. 79)
Unique sites:
Mn  0.000  0.000  0.000 (multiplicity 2)
H  0.000  0.500  0.043 (multiplicity 4)
Br  0.000  0.000  0.794 (multiplicity 2)
Br  0.163  0.687  0.050 (multiplicity 8)

***

(4)
# PuTeSO7

A relaxed structure of PuTeSO7 (PBE-GGA, Alexandria).

Values from the calculation:
Total magnetic moment, μB/f.u.: 4.000
Theoretical density, g/cm³: 6.11
ΔE_f (raw), meV/atom: -1735.9
E, eV/atom: -7.3667
Crystal system: monoclinic

Lattice parameters (Å, degrees): 7.801 13.762 5.564 90.00 110.19 90.00
Space group P2_1/c (No. 14)
Unique sites:
Pu  0.082  0.131  0.414 (multiplicity 4)
Te  0.237  0.627  0.782 (multiplicity 4)
S  0.366  0.137  0.110 (multiplicity 4)
O  0.076  0.723  0.838 (multiplicity 4)
O  0.082  0.586  0.452 (multiplicity 4)
O  0.129  0.542  0.962 (multiplicity 4)
O  0.240  0.216  0.143 (multiplicity 4)
O  0.300  0.100  0.845 (multiplicity 4)
O  0.348  0.062  0.295 (multiplicity 4)
O  0.445  0.672  0.316 (multiplicity 4)

***

(5)
# YTiZnIr

A relaxed structure of YTiZnIr (PBE-GGA, Alexandria).

Values from the calculation:
Total magnetic moment, μB/f.u.: 0.097
Theoretical density, g/cm³: 8.94
E, eV/atom: -6.5327
Crystal system: cubic
E_form, eV/atom: -0.409

Lattice parameters (Å, degrees): 6.643 6.643 6.643 90.00 90.00 90.00
Space group F-43m (No. 216)
Unique sites:
Y  0.000  0.000  0.000 (multiplicity 4)
Ti  0.000  0.000  0.500 (multiplicity 4)
Zn  0.250  0.250  0.750 (multiplicity 4)
Ir  0.250  0.250  0.250 (multiplicity 4)

***

(6)
# AcHF2

A relaxed structure of AcHF2 (PBE-GGA, Alexandria).

Values from the calculation:
Total magnetic moment, μB/f.u.: 0.000
Theoretical density, g/cm³: 5.95
Energy above the lowest structure with this stoichiometry, kJ/mol of atoms: 0.0
E, eV/atom: -5.7468
Crystal system: monoclinic

Lattice parameters (Å, degrees): 6.216 4.037 6.606 90.00 116.46 90.00
Space group P2_1/m (No. 11)
Unique sites:
Ac  0.166  0.250  0.322 (multiplicity 2)
H  0.148  0.750  0.550 (multiplicity 2)
F  0.084  0.250  0.909 (multiplicity 2)
F  0.430  0.750  0.334 (multiplicity 2)

***

(7)
# LiTbSb

A relaxed structure of LiTbSb (PBE-GGA, Alexandria).

Values from the calculation:
Total magnetic moment, μB/f.u.: 0.002
Theoretical density, g/cm³: 6.82
ΔE_f (raw), meV/atom: -784.4
Energy above the lowest structure with this stoichiometry, kJ/mol of atoms: 3.3
E, eV/atom: -4.3399
Crystal system: hexagonal

Lattice parameters (Å, degrees): 4.4324 4.4324 4.1174 90.00 90.00 120.00
Space group P-6m2 (No. 187)
Unique sites:
Li  0.0000  0.0000  0.0000 (multiplicity 1)
Tb  0.6667  0.3333  0.5000 (multiplicity 1)
Sb  0.3333  0.6667  0.0000 (multiplicity 1)

***

(8)
# Ti2ReCl

A relaxed structure of Ti2ReCl (PBE-GGA, Alexandria).

Values from the calculation:
Total magnetic moment, μB/f.u.: 0.000
Theoretical density, g/cm³: 8.24
ΔE_f (raw), meV/atom: 301.9
Energy above the lowest structure with this stoichiometry, kJ/mol of atoms: 0.0
E, eV/atom: -7.2193
Crystal system: cubic

Lattice parameters (Å, degrees): 6.350 6.350 6.350 90.00 90.00 90.00
Space group Fm-3m (No. 225)
Unique sites:
Ti  0.250  0.250  0.250 (multiplicity 8)
Re  0.000  0.000  0.000 (multiplicity 4)
Cl  0.000  0.000  0.500 (multiplicity 4)

***

(9)
# Cs2ScNbCl6

A relaxed structure of Cs2ScNbCl6 (PBE-GGA, Alexandria).

Values from the calculation:
Total magnetic moment, μB/f.u.: 2.000
Theoretical density, g/cm³: 3.68
ΔE_f (raw), meV/atom: -1576.2
E, eV/atom: -4.4950
Crystal system: cubic

Lattice parameters (Å, degrees): 10.367 10.367 10.367 90.00 90.00 90.00
Space group Fm-3m (No. 225)
Unique sites:
Cs  0.250  0.250  0.250 (multiplicity 8)
Sc  0.000  0.000  0.000 (multiplicity 4)
Nb  0.000  0.000  0.500 (multiplicity 4)
Cl  0.000  0.000  0.249 (multiplicity 24)

***

(10)
# AlTlCd

A relaxed structure of AlTlCd (PBE-GGA, Alexandria).

Values from the calculation:
Total magnetic moment, μB/f.u.: 0.000
Theoretical density, g/cm³: 7.82
E, eV/atom: -2.1980
Crystal system: triclinic
E_form, eV/atom: 0.143

Lattice parameters (Å, degrees): 3.164 6.123 8.348 110.66 90.06 104.26
Space group P1 (No. 1)
Unique sites:
Al  0.000  0.000  0.000 (multiplicity 1)
Al  0.301  0.596  0.947 (multiplicity 1)
Tl  0.479  0.974  0.344 (multiplicity 1)
Tl  0.826  0.622  0.602 (multiplicity 1)
Cd  0.585  0.162  0.753 (multiplicity 1)
Cd  0.715  0.433  0.194 (multiplicity 1)

***

(11)
# ZrBiSb2

A relaxed structure of ZrBiSb2 (PBE-GGA, Alexandria).

Values from the calculation:
Total magnetic moment, μB/f.u.: 0.000
Theoretical density, g/cm³: 8.62
ΔE_f (raw), meV/atom: -249.5
E, eV/atom: -5.4180
Crystal system: tetragonal

Lattice parameters (Å, degrees): 3.782 3.782 7.324 90.00 90.00 90.00
Space group P4/mmm (No. 123)
Unique sites:
Zr  0.000  0.000  0.000 (multiplicity 1)
Bi  0.000  0.000  0.500 (multiplicity 1)
Sb  0.500  0.500  0.206 (multiplicity 2)

***

(12)
# TbY2PbC

A relaxed structure of TbY2PbC (PBE-GGA, Alexandria).

Values from the calculation:
Total magnetic moment, μB/f.u.: 0.000
Theoretical density, g/cm³: 7.68
E, eV/atom: -6.6551
Crystal system: tetragonal
E_form, eV/atom: -0.557

Lattice parameters (Å, degrees): 4.926 4.926 4.956 90.00 90.00 90.00
Space group P4/mmm (No. 123)
Unique sites:
Tb  0.000  0.000  0.000 (multiplicity 1)
Y  0.000  0.500  0.500 (multiplicity 2)
Pb  0.500  0.500  0.000 (multiplicity 1)
C  0.000  0.000  0.500 (multiplicity 1)

***

(13)
# LiTe

A relaxed structure of LiTe (PBE-GGA, Alexandria).

Values from the calculation:
Total magnetic moment, μB/f.u.: 0.000
Theoretical density, g/cm³: 3.71
ΔE_f (raw), meV/atom: -576.4
Energy above the lowest structure with this stoichiometry, kJ/mol of atoms: 14.0
E, eV/atom: -3.1042
Crystal system: orthorhombic

Lattice parameters (Å, degrees): 15.526 4.781 4.866 90.00 90.00 90.00
Space group Pmn2_1 (No. 31)
Unique sites:
Li  0.000  0.112  0.000 (multiplicity 2)
Li  0.241  0.689  0.572 (multiplicity 4)
Te  0.000  0.605  0.316 (multiplicity 2)
Te  0.165  0.808  0.073 (multiplicity 4)

***

(14)
# CePbI6

A relaxed structure of CePbI6 (PBE-GGA, Alexandria).

Values from the calculation:
Total magnetic moment, μB/f.u.: 0.000
Theoretical density, g/cm³: 4.96
ΔE_f (raw), meV/atom: -916.8
E, eV/atom: -3.2847
Crystal system: trigonal

Lattice parameters (Å, degrees): 7.7719 7.7719 21.2710 90.00 90.00 120.00
Space group R-3 (No. 148, hexagonal axes)
Unique sites:
Ce  0.0000  0.0000  0.0000 (multiplicity 3)
Pb  0.0000  0.0000  0.5000 (multiplicity 3)
I  0.0061  0.6558  0.5854 (multiplicity 18)

***

(15)
# TmScCdRu

A relaxed structure of TmScCdRu (PBE-GGA, Alexandria).

Values from the calculation:
Total magnetic moment, μB/f.u.: 0.000
Theoretical density, g/cm³: 8.74
Energy above the lowest structure with this stoichiometry, kJ/mol of atoms: 13.4
E, eV/atom: -5.5919
Crystal system: cubic
E_form, eV/atom: -0.343

Lattice parameters (Å, degrees): 6.875 6.875 6.875 90.00 90.00 90.00
Space group F-43m (No. 216)
Unique sites:
Tm  0.000  0.000  0.000 (multiplicity 4)
Sc  0.000  0.000  0.500 (multiplicity 4)
Cd  0.250  0.250  0.750 (multiplicity 4)
Ru  0.250  0.250  0.250 (multiplicity 4)

***

(16)
# AlRhF2

A relaxed structure of AlRhF2 (PBE-GGA, Alexandria).

Values from the calculation:
Total magnetic moment, μB/f.u.: 0.945
Theoretical density, g/cm³: 4.38
ΔE_f (raw), meV/atom: -1095.3
Energy above the lowest structure with this stoichiometry, kJ/mol of atoms: 2.1
E, eV/atom: -4.8044
Crystal system: tetragonal

Lattice parameters (Å, degrees): 5.617 5.617 8.071 90.00 90.00 90.00
Space group I4_1/amd (No. 141, origin choice 2)
Unique sites:
Al  0.000  0.250  0.375 (multiplicity 4)
Rh  0.000  0.250  0.875 (multiplicity 4)
F  0.000  0.000  0.500 (multiplicity 8)

***

(17)
# Y2TmIn3S6

A relaxed structure of Y2TmIn3S6 (PBE-GGA, Alexandria).

Values from the calculation:
Total magnetic moment, μB/f.u.: 0.000
Theoretical density, g/cm³: 4.75
ΔE_f (raw), meV/atom: -1406.2
E, eV/atom: -5.6045
Crystal system: monoclinic

Lattice parameters (Å, degrees): 6.892 11.937 7.854 90.00 107.00 90.00
Space group C2/m (No. 12)
Unique sites:
Y  0.000  0.167  0.000 (multiplicity 4)
Tm  0.000  0.500  0.000 (multiplicity 2)
In  0.000  0.000  0.500 (multiplicity 2)
In  0.000  0.333  0.500 (multiplicity 4)
S  0.231  0.335  0.200 (multiplicity 8)
S  0.238  0.000  0.201 (multiplicity 4)

***

(18)
# AlIr2Pb

A relaxed structure of AlIr2Pb (PBE-GGA, Alexandria).

Values from the calculation:
Total magnetic moment, μB/f.u.: 0.009
Theoretical density, g/cm³: 15.30
Energy above the lowest structure with this stoichiometry, kJ/mol of atoms: 24.3
E, eV/atom: -6.2113
Crystal system: cubic
E_form, eV/atom: 0.082

Lattice parameters (Å, degrees): 6.451 6.451 6.451 90.00 90.00 90.00
Space group Fm-3m (No. 225)
Unique sites:
Al  0.000  0.000  0.000 (multiplicity 4)
Ir  0.250  0.250  0.250 (multiplicity 8)
Pb  0.000  0.000  0.500 (multiplicity 4)

***

(19)
# NbVW

A relaxed structure of NbVW (PBE-GGA, Alexandria).

Values from the calculation:
Total magnetic moment, μB/f.u.: 0.000
Theoretical density, g/cm³: 11.38
Energy above the lowest structure with this stoichiometry, kJ/mol of atoms: 0.7
E, eV/atom: -10.7265
Crystal system: tetragonal
E_form, eV/atom: -0.013

Lattice parameters (Å, degrees): 3.170 3.170 9.516 90.00 90.00 90.00
Space group P4/nmm (No. 129, origin choice 2)
Unique sites:
Nb  0.250  0.250  0.093 (multiplicity 2)
V  0.250  0.250  0.421 (multiplicity 2)
W  0.250  0.250  0.734 (multiplicity 2)

***

(20)
# Sm2Pa3Se8

A relaxed structure of Sm2Pa3Se8 (PBE-GGA, Alexandria).

Values from the calculation:
Total magnetic moment, μB/f.u.: 4.933
Theoretical density, g/cm³: 6.80
ΔE_f (raw), meV/atom: -1455.4
Energy above the lowest structure with this stoichiometry, kJ/mol of atoms: 3.4
E, eV/atom: -6.5171
Crystal system: monoclinic

Lattice parameters (Å, degrees): 14.865 8.187 6.827 90.00 107.26 90.00
Space group C2/m (No. 12)
Unique sites:
Sm  0.244  0.000  0.169 (multiplicity 4)
Pa  0.000  0.257  0.500 (multiplicity 4)
Pa  0.000  0.500  0.000 (multiplicity 2)
Se  0.108  0.000  0.405 (multiplicity 4)
Se  0.125  0.259  0.915 (multiplicity 8)
Se  0.127  0.500  0.416 (multiplicity 4)